No. 1
Material: YZr3Zn
Method: DFT, PBE
State: optimized geometry

Crystal system: cubic
Total energy: -26.1 eV per formula unit
Energy relative to the elements: 1.46 eV/atom
Energy above the lowest structure with this stoichiometry: 987.0 meV per atom

Lattice parameters (Å, degrees): 5.1991 5.1991 5.1991 90.00 90.00 90.00
With the nearest neighbours (Å) after each atom.
Space group Pm-3m (No. 221)
Asymmetric unit:
Y 0.0000 0.0000 0.0000  6 Zr 2.60
Zr 0.0000 0.0000 0.5000  2 Y 2.60
Zn 0.5000 0.5000 0.5000  12 Zr 3.68



No. 2
Material: YZr3Zn
Method: DFT, PBE
State: optimized geometry

Crystal system: cubic
Total energy: -31.0 eV per formula unit
Energy relative to the elements: 0.47 eV/atom
Energy above the lowest structure with this stoichiometry: 0.0 meV per atom

Lattice parameters (Å, degrees): 5.1013 5.1013 5.1013 90.00 90.00 90.00
With the nearest neighbours (Å) after each atom.
Space group Pm-3m (No. 221)
Asymmetric unit:
Y 0.0000 0.0000 0.0000  12 Zr 3.61
Zr 0.0000 0.5000 0.5000  2 Zn 2.55
Zn 0.5000 0.5000 0.5000  6 Zr 2.55



No. 3
Material: Y2ZrZn
Method: DFT, PBE
State: optimized geometry

Crystal system: tetragonal
Total energy: -22.6 eV per formula unit
Energy relative to the elements: 0.04 eV/atom

Lattice parameters (Å, degrees): 4.5142 4.5142 9.6556 90.00 90.00 90.00
With the nearest neighbours (Å) after each atom.
Space group I-4m2 (No. 119)
Asymmetric unit:
Y 0.0000 0.0000 0.0000  4 Zr 3.19, 4 Zn 3.30, 4 Y 3.30
Y 0.0000 0.5000 0.2500  4 Zn 3.19, 4 Zr 3.30, 4 Y 3.30
Zr 0.0000 0.0000 0.5000  8 Y 3.19-3.30, 4 Zn 3.30
Zn 0.0000 0.5000 0.7500  8 Y 3.19-3.30, 4 Zr 3.30